4
Lattice="4.0904 0.0000 0.0000 0.0000 4.0904 0.0000 0.0000 0.0000 7.3509" Properties=species:S:1:pos:R:3 comment="SrAuBr2, relaxed, DFT PBE-GGA" n_ef_per_ev_fu=2.5 energy_ev_per_atom=-3.0295 density_g_cm3=6.00 pbc="T T T"
Sr 0.0000 0.0000 0.0000
Au 2.0452 2.0452 1.8987
Br 0.0000 0.0000 2.8958
Br 2.0452 2.0452 5.9073